This record from the Alexandria database describes a geometry-optimized LiCaHPd2 structure. The functional is GGA-PBE.

abc: 4.1773 4.1773 4.1306
angles: 90.00 90.00 90.00
Space group P4/mmm (No. 123)
Unique sites:
Li1 0.0000 0.0000 0.0000 [1 per cell]
Ca1 0.5000 0.5000 0.0000 [1 per cell]
H1 0.0000 0.0000 0.5000 [1 per cell]
Pd1 0.0000 0.5000 0.5000 [2 per cell]

Uncorrected energy (eV/atom): -3.99
Crystal system: tetragonal
Offset from the most stable computed form (meV/atom): 0.0
DOS(E_F) (states/eV/atom): 0.16